No. 1
OsBr2F2: optimized geometry, PBE.

a = 7.260 Å, b = 7.264 Å, c = 3.700 Å
α = 90.00°, β = 90.00°, γ = 90.00°
Atoms (fractional coordinates):
Os 0.000 0.000 0.000
Os 0.500 0.500 0.000
Br 0.000 0.232 0.500
Br 0.000 0.768 0.500
Br 0.500 0.268 0.500
Br 0.500 0.732 0.500
F 0.236 0.500 0.000
F 0.264 0.000 0.000
F 0.736 0.000 0.000
F 0.764 0.500 0.000

## Properties
V, Å³ per cell: 195.1
VASP energy, eV per atom: -4.53
Space-group type: Cmmm (65)



No. 2
Sm2PBrF: optimized geometry, PBE.

a = 3.980 Å, b = 3.980 Å, c = 8.467 Å
α = 90.00°, β = 90.00°, γ = 120.00°
Atoms (fractional coordinates):
Sm 0.000 0.000 0.000
Sm 0.333 0.667 0.618
P 0.667 0.333 0.812
Br 0.333 0.667 0.230
F 0.000 0.000 0.513

## Properties
V, Å³ per cell: 116.2
VASP energy, eV per atom: -5.90
Space-group type: P3m1 (156)



No. 3
Rb2PdBr2F2: optimized geometry, PBE.

a = 3.945 Å, b = 6.869 Å, c = 6.869 Å
α = 90.00°, β = 90.00°, γ = 90.00°
Atoms (fractional coordinates):
Rb 0.000 0.000 0.000
Rb 0.000 0.500 0.333
Pd 0.500 0.500 0.899
Br 0.500 0.249 0.656
Br 0.500 0.751 0.656
F 0.500 0.289 0.115
F 0.500 0.711 0.115

## Properties
V, Å³ per cell: 186.1
VASP energy, eV per atom: -3.67
Space-group type: Pmm2 (25)



No. 4
Rb2PdBr3F: optimized geometry, PBE.

a = 4.251 Å, b = 9.446 Å, c = 11.020 Å
α = 90.00°, β = 90.00°, γ = 90.00°
Atoms (fractional coordinates):
Rb 0.000 0.209 0.000
Rb 0.000 0.291 0.500
Rb 0.000 0.709 0.500
Rb 0.000 0.791 0.000
Pd 0.500 0.000 0.752
Pd 0.500 0.500 0.252
Br 0.500 0.000 0.533
Br 0.500 0.240 0.254
Br 0.500 0.260 0.754
Br 0.500 0.500 0.033
Br 0.500 0.740 0.754
Br 0.500 0.760 0.254
F 0.500 0.000 0.942
F 0.500 0.500 0.442

## Properties
V, Å³ per cell: 442.6
VASP energy, eV per atom: -3.41
Space-group type: Amm2 (38)



No. 5
Rb2PdBr2F2: optimized geometry, PBE.

a = 8.213 Å, b = 10.966 Å, c = 3.976 Å
α = 90.00°, β = 90.00°, γ = 90.00°
Atoms (fractional coordinates):
Rb 0.250 0.250 0.000
Rb 0.250 0.750 0.000
Rb 0.750 0.250 0.000
Rb 0.750 0.750 0.000
Pd 0.000 0.000 0.500
Pd 0.500 0.500 0.500
Br 0.201 0.500 0.500
Br 0.299 0.000 0.500
Br 0.701 0.000 0.500
Br 0.799 0.500 0.500
F 0.000 0.184 0.500
F 0.000 0.816 0.500
F 0.500 0.316 0.500
F 0.500 0.684 0.500

## Properties
V, Å³ per cell: 358.1
VASP energy, eV per atom: -3.67
Space-group type: Cmmm (65)



No. 6
PdS2Br2F4: optimized geometry, PBE.

a = 3.917 Å, b = 6.065 Å, c = 7.400 Å
α = 76.71°, β = 79.62°, γ = 88.83°
Atoms (fractional coordinates):
Pd 0.000 0.000 0.000
S 0.365 0.221 0.753
S 0.635 0.779 0.247
Br 0.101 0.544 0.743
Br 0.899 0.456 0.257
F 0.266 0.125 0.166
F 0.267 0.146 0.571
F 0.733 0.854 0.429
F 0.734 0.875 0.834

## Properties
V, Å³ per cell: 168.2
VASP energy, eV per atom: -3.48
Space-group type: P-1 (2)



No. 7
PdS2Br4F2: optimized geometry, PBE.

a = 4.479 Å, b = 6.929 Å, c = 7.940 Å
α = 105.40°, β = 101.19°, γ = 92.66°
Atoms (fractional coordinates):
Pd 0.000 0.000 0.000
S 0.315 0.232 0.233
S 0.685 0.768 0.767
Br 0.069 0.508 0.243
Br 0.309 0.154 0.833
Br 0.691 0.846 0.167
Br 0.931 0.492 0.757
F 0.265 0.188 0.419
F 0.735 0.812 0.581

## Properties
V, Å³ per cell: 231.8
VASP energy, eV per atom: -3.15
Space-group type: P-1 (2)



No. 8
PmBrF2: optimized geometry, PBE.

a = 3.870 Å, b = 10.585 Å, c = 7.049 Å
α = 90.00°, β = 90.00°, γ = 90.00°
Atoms (fractional coordinates):
Pm 0.000 0.239 0.250
Pm 0.000 0.761 0.750
Pm 0.500 0.261 0.750
Pm 0.500 0.739 0.250
Br 0.000 0.044 0.750
Br 0.000 0.956 0.250
Br 0.500 0.456 0.250
Br 0.500 0.544 0.750
F 0.000 0.316 0.568
F 0.000 0.316 0.932
F 0.000 0.684 0.068
F 0.000 0.684 0.432
F 0.500 0.184 0.068
F 0.500 0.184 0.432
F 0.500 0.816 0.568
F 0.500 0.816 0.932

## Properties
V, Å³ per cell: 288.8
VASP energy, eV per atom: -5.88
Space-group type: Cmcm (63)